Entry 1:
# Rb3Ga5Br12 (PBE-GGA, optimized geometry)
# Formation energy from raw total energies (meV/atom): -978
data_Rb3Ga5Br12
_space_group_name_H-M_alt 'P 1'
_space_group_IT_number 1
_space_group_name_Hall 'P 1'
_cell_length_a 15.8262
_cell_length_b 15.8262
_cell_length_c 15.8262
_cell_angle_alpha 109.47
_cell_angle_beta 109.47
_cell_angle_gamma 109.47
loop_
_atom_site_label
_atom_site_type_symbol
_atom_site_fract_x
_atom_site_fract_y
_atom_site_fract_z
Ga1 Ga 0.0000 0.5000 0.0000
Ga2 Ga 0.0000 0.5000 0.5000
Br1 Br 0.4115 0.1141 0.6047
Br2 Br 0.6141 0.0093 0.2026
Br3 Br 0.8859 0.5885 0.8953
Ga3 Ga 0.8750 0.6250 0.7500
Ga4 Ga 0.3750 0.1250 0.7500
Ga5 Ga 0.0000 0.0000 0.5000
Br4 Br 0.0885 0.1933 0.2026
Rb1 Rb 0.7500 0.3750 0.1250
Rb2 Rb 0.8750 0.7500 0.1250
Br5 Br 0.1933 0.0885 0.7026
Ga6 Ga 0.5000 0.5000 0.0000
Br6 Br 0.3859 0.9907 0.7974
Br7 Br 0.3953 0.0093 0.3067
Br8 Br 0.1047 0.9115 0.1141
Rb3 Rb 0.2500 0.1250 0.3750
Br9 Br 0.7026 0.1141 0.0093
Br10 Br 0.6933 0.2026 0.5885
Br11 Br 0.7026 0.5885 0.1933
Br12 Br 0.1141 0.7026 0.5093
Br13 Br 0.3067 0.5093 0.3953
Br14 Br 0.5885 0.7026 0.6933
Ga7 Ga 0.6250 0.8750 0.2500
Br15 Br 0.8953 0.0885 0.8859
Br16 Br 0.4907 0.6933 0.1047
Ga8 Ga 0.1250 0.7500 0.3750
Br17 Br 0.1141 0.4115 0.1047
Br18 Br 0.9115 0.8067 0.7974
Ga9 Ga 0.7500 0.6250 0.3750
Ga10 Ga 0.6250 0.7500 0.8750
Br19 Br 0.6933 0.4907 0.6047
Br20 Br 0.3859 0.3953 0.0885
Br21 Br 0.6047 0.6141 0.4115
Br22 Br 0.1047 0.1933 0.4907
Br23 Br 0.1933 0.1047 0.9907
Rb4 Rb 0.6250 0.3750 0.7500
Br24 Br 0.5885 0.8859 0.3953
Br25 Br 0.5093 0.3067 0.8953
Br26 Br 0.9907 0.6047 0.1933
Br27 Br 0.4115 0.2974 0.3067
Ga11 Ga 0.3750 0.2500 0.1250
Br28 Br 0.0093 0.3953 0.8067
Ga12 Ga 0.0000 0.0000 0.0000
Ga13 Ga 0.2500 0.8750 0.1250
Ga14 Ga 0.5000 0.0000 0.0000
Ga15 Ga 0.1250 0.3750 0.2500
Br29 Br 0.4907 0.7974 0.8859
Rb5 Rb 0.3750 0.6250 0.2500
Br30 Br 0.6141 0.6047 0.9115
Br31 Br 0.5093 0.2026 0.1141
Br32 Br 0.9907 0.3859 0.2974
Rb6 Rb 0.7500 0.8750 0.6250
Br33 Br 0.2026 0.5093 0.6141
Ga16 Ga 0.2500 0.3750 0.6250
Br34 Br 0.7974 0.4907 0.3859
Ga17 Ga 0.5000 0.5000 0.5000
Ga18 Ga 0.7500 0.1250 0.8750
Rb7 Rb 0.2500 0.6250 0.8750
Br35 Br 0.3953 0.3859 0.5885
Br36 Br 0.2974 0.4115 0.8067
Br37 Br 0.2026 0.6933 0.0885
Rb8 Rb 0.1250 0.2500 0.8750
Br38 Br 0.8067 0.8953 0.0093
Br39 Br 0.8953 0.8067 0.5093
Rb9 Rb 0.6250 0.2500 0.3750
Br40 Br 0.9115 0.1047 0.6141
Rb10 Rb 0.1250 0.8750 0.7500
Br41 Br 0.0093 0.6141 0.7026
Ga19 Ga 0.8750 0.2500 0.6250
Br42 Br 0.8859 0.2974 0.4907
Br43 Br 0.7974 0.3067 0.9115
Rb11 Rb 0.8750 0.1250 0.2500
Br44 Br 0.6047 0.9907 0.6933
Br45 Br 0.0885 0.8953 0.3859
Br46 Br 0.8067 0.9115 0.2974
Br47 Br 0.3067 0.7974 0.4115
Rb12 Rb 0.3750 0.7500 0.6250
Br48 Br 0.2974 0.8859 0.9907
Ga20 Ga 0.5000 0.0000 0.5000


Entry 2:
# BaCd6Bi4 (PBE-GGA, optimized geometry)
# Calculated formation energy (eV per atom): -0.119
data_BaCd6Bi4
_space_group_name_H-M_alt 'P 1'
_space_group_IT_number 1
_space_group_name_Hall 'P 1'
_cell_length_a 4.7635
_cell_length_b 4.7635
_cell_length_c 16.0106
_cell_angle_alpha 98.56
_cell_angle_beta 98.56
_cell_angle_gamma 90.00
loop_
_atom_site_label
_atom_site_type_symbol
_atom_site_fract_x
_atom_site_fract_y
_atom_site_fract_z
Bi1 Bi 0.1821 0.1821 0.3642
Cd1 Cd 0.3815 0.8815 0.7630
Cd2 Cd 0.2500 0.7500 0.5000
Bi2 Bi 0.8179 0.8179 0.6358
Bi3 Bi 0.5549 0.5549 0.1098
Cd3 Cd 0.1185 0.6185 0.2370
Ba1 Ba 0.0000 0.0000 0.0000
Cd4 Cd 0.8815 0.3815 0.7630
Cd5 Cd 0.6185 0.1185 0.2370
Cd6 Cd 0.7500 0.2500 0.5000
Bi4 Bi 0.4451 0.4451 0.8902


Entry 3:
# BeZnW3 (PBE-GGA, optimized geometry)
# Distance to the lowest polymorph of the same formula (kJ/mol of formula units): 0
# Calculated formation energy (eV per atom): 0.939
data_BeZnW3
_space_group_name_H-M_alt 'P 1'
_space_group_IT_number 1
_space_group_name_Hall 'P 1'
_cell_length_a 4.2370
_cell_length_b 4.2370
_cell_length_c 4.2370
_cell_angle_alpha 90.00
_cell_angle_beta 90.00
_cell_angle_gamma 90.00
loop_
_atom_site_label
_atom_site_type_symbol
_atom_site_fract_x
_atom_site_fract_y
_atom_site_fract_z
W1 W 0.0000 0.5000 0.0000
Zn1 Zn 0.5000 0.5000 0.5000
W2 W 0.0000 0.0000 0.5000
W3 W 0.5000 0.0000 0.0000
Be1 Be 0.0000 0.0000 0.0000


Entry 4:
# CaLa7Er2 (PBE-GGA, optimized geometry)
# Calculated formation energy (eV per atom): 0.543
data_CaLa7Er2
_space_group_name_H-M_alt 'P 1'
_space_group_IT_number 1
_space_group_name_Hall 'P 1'
_cell_length_a 6.0187
_cell_length_b 9.1941
_cell_length_c 9.1941
_cell_angle_alpha 60.69
_cell_angle_beta 90.00
_cell_angle_gamma 90.00
loop_
_atom_site_label
_atom_site_type_symbol
_atom_site_fract_x
_atom_site_fract_y
_atom_site_fract_z
La1 La 0.5000 0.3047 0.9340
La2 La 0.0000 0.2586 0.2586
Ca1 Ca 0.0000 0.0000 0.0000
Er1 Er 0.5000 0.2958 0.2958
La3 La 0.5000 0.9340 0.3047
La4 La 0.5000 0.0660 0.6953
La5 La 0.5000 0.5000 0.5000
La6 La 0.5000 0.6953 0.0660
La7 La 0.0000 0.7414 0.7414
Er2 Er 0.5000 0.7042 0.7042


The records above yield mass density values of 3.40, 7.70, 13.67, 5.04 Mg/m³, respectively.